Entry 1:
LaNbCu2 | PBE | relaxed

```
LaNbCu2
1.0
0.000 3.413 3.413
3.413 0.000 3.413
3.413 3.413 0.000
La Nb Cu
1 1 2
Direct
0.000 0.000 0.000
0.500 0.500 0.500
0.250 0.250 0.250
0.750 0.750 0.750
```

Results
electronic total energy	-21.99	eV/cell
total moment	0.42	μB/atom
density	7.5	g/cm³
energy of formation from the pure elements	0.30	eV/atom
excess energy over the best structure of this formula in the dataset	0.0000	eV/atom

Entry 2:
LaNb2Cu | PBE | relaxed

```
LaNb2Cu
1.0
-2.020 2.020 10.364
2.020 -2.020 10.364
2.020 2.020 -10.364
La Nb Cu
2 4 2
Direct
0.000 0.000 0.000
0.750 0.250 0.500
0.142 0.625 0.017
0.375 0.392 0.517
0.608 0.125 0.983
0.875 0.858 0.483
0.250 0.750 0.500
0.500 0.500 0.000
```

Results
electronic total energy	-54.04	eV/cell
total moment	0.00	μB/atom
density	7.6	g/cm³
energy of formation from the pure elements	0.54	eV/atom
excess energy over the best structure of this formula in the dataset	0.0000	eV/atom

Entry 3:
LaNbCu | PBE | relaxed

```
LaNbCu
1.0
3.495 0.000 0.000
0.000 3.495 0.000
0.000 0.000 10.845
La Nb Cu
2 2 2
Direct
0.000 0.000 0.182
0.000 0.000 0.818
0.500 0.500 0.388
0.500 0.500 0.612
0.000 0.000 0.500
0.500 0.500 0.000
```

Results
electronic total energy	-37.07	eV/cell
total moment	0.00	μB/atom
density	7.4	g/cm³
energy of formation from the pure elements	0.19	eV/atom

Entry 4:
LaNb3Cu4O12 | PBE | relaxed

```
LaNb3Cu4O12
1.0
5.462 3.153 2.565
-5.462 3.153 2.565
0.000 -6.307 2.565
La Nb Cu O
1 3 4 12
Direct
0.000 0.000 0.000
0.000 0.562 0.438
0.438 0.000 0.562
0.562 0.438 0.000
0.087 0.500 0.913
0.500 0.500 0.500
0.500 0.913 0.087
0.913 0.087 0.500
0.000 0.258 0.346
0.000 0.654 0.742
0.100 0.900 0.500
0.258 0.346 0.000
0.329 0.671 0.500
0.346 0.000 0.258
0.500 0.100 0.900
0.500 0.329 0.671
0.654 0.742 0.000
0.671 0.500 0.329
0.742 0.000 0.654
0.900 0.500 0.100
```

Results
electronic total energy	-148.92	eV/cell
E_form (uncorrected)	-1.89	eV per atom
total moment	0.10	μB/atom
density	5.4	g/cm³

Entry 5:
La2NbCuPb | PBE | relaxed

```
La2NbCuPb
1.0
5.497 0.000 0.000
0.000 5.497 0.000
0.000 0.000 4.954
La Nb Cu Pb
2 1 1 1
Direct
0.000 0.500 0.000
0.500 0.000 0.000
0.000 0.000 0.000
0.000 0.000 0.500
0.500 0.500 0.500
```

Results
electronic total energy	-25.47	eV/cell
total moment	0.00	μB/atom
density	7.1	g/cm³
energy of formation from the pure elements	0.45	eV/atom

Entry 6:
LaNbCuPt2 | PBE | relaxed

```
LaNbCuPt2
1.0
5.165 0.000 0.000
0.000 5.165 0.000
0.000 0.000 4.922
La Nb Cu Pt
1 1 1 2
Direct
0.000 0.000 0.000
0.500 0.500 0.500
0.000 0.000 0.500
0.000 0.500 0.000
0.500 0.000 0.000
```

Results
electronic total energy	-25.09	eV/cell
total moment	0.54	μB/atom
density	8.7	g/cm³
energy of formation from the pure elements	1.22	eV/atom

Entry 7:
Sr2LaNbCu | PBE | relaxed

```
Sr2LaNbCu
1.0
5.753 0.000 0.000
0.000 5.753 0.000
0.000 0.000 5.137
Sr La Nb Cu
2 1 1 1
Direct
0.000 0.500 0.000
0.500 0.000 0.000
0.000 0.000 0.500
0.500 0.500 0.500
0.500 0.500 0.000
```

Results
electronic total energy	-19.17	eV/cell
total moment	0.47	μB/atom
density	4.6	g/cm³
energy of formation from the pure elements	0.66	eV/atom

Entry 8:
La2TaNbCu | PBE | relaxed

```
La2TaNbCu
1.0
5.294 0.000 0.000
0.000 5.294 0.000
0.000 0.000 4.906
La Ta Nb Cu
2 1 1 1
Direct
0.000 0.500 0.000
0.500 0.000 0.000
0.000 0.000 0.500
0.500 0.500 0.500
0.500 0.500 0.000
```

Results
electronic total energy	-30.28	eV/cell
total moment	0.00	μB/atom
density	7.4	g/cm³
energy of formation from the pure elements	1.12	eV/atom

Entry 9:
LaTiNb2Cu | PBE | relaxed

```
LaTiNb2Cu
1.0
4.767 0.000 0.000
0.000 4.767 0.000
0.000 0.000 5.348
La Ti Nb Cu
1 1 2 1
Direct
0.000 0.000 0.000
0.500 0.500 0.000
0.000 0.500 0.500
0.500 0.000 0.500
0.000 0.000 0.500
```

Results
electronic total energy	-31.73	eV/cell
total moment	0.32	μB/atom
density	6.0	g/cm³
energy of formation from the pure elements	1.07	eV/atom

Entry 10:
LaNd5Cu6 | PBE | relaxed

```
LaNd5Cu6
1.0
2.562 -7.669 0.000
2.562 7.669 0.000
0.000 0.000 7.147
La Nd Cu
1 5 6
Direct
0.000 0.000 0.000
0.000 0.000 0.500
0.333 0.667 0.000
0.334 0.666 0.500
0.666 0.334 0.500
0.667 0.333 0.000
0.168 0.832 0.253
0.168 0.832 0.747
0.500 0.500 0.255
0.500 0.500 0.745
0.832 0.168 0.253
0.832 0.168 0.747
```

Results
electronic total energy	-54.99	eV/cell
total moment	0.00	μB/atom
density	7.3	g/cm³
energy of formation from the pure elements	-0.14	eV/atom

Entry 11:
LaNd2Cu | PBE | relaxed

```
LaNd2Cu
1.0
3.644 0.000 0.000
0.000 3.644 0.000
0.000 0.000 8.933
La Nd Cu
1 2 1
Direct
0.000 0.000 0.000
0.500 0.500 0.306
0.500 0.500 0.694
0.000 0.000 0.500
```

Results
electronic total energy	-18.77	eV/cell
total moment	0.00	μB/atom
density	6.9	g/cm³
energy of formation from the pure elements	-0.05	eV/atom
excess energy over the best structure of this formula in the dataset	0.0063	eV/atom

Entry 12:
LaNd2Cu3 | PBE | relaxed

```
LaNd2Cu3
1.0
3.597 0.000 0.000
0.000 3.597 0.000
0.000 0.000 10.927
La Nd Cu
1 2 3
Direct
0.000 0.000 0.000
0.000 0.000 0.335
0.000 0.000 0.665
0.500 0.500 0.175
0.500 0.500 0.500
0.500 0.500 0.825
```

Results
electronic total energy	-27.59	eV/cell
total moment	0.00	μB/atom
density	7.3	g/cm³
energy of formation from the pure elements	-0.14	eV/atom
excess energy over the best structure of this formula in the dataset	0.0000	eV/atom

Entry 13:
LaNdCu2 | PBE | relaxed

```
LaNdCu2
1.0
4.010 0.000 0.000
0.000 4.557 0.000
-1.971 0.000 5.348
La Nd Cu
1 1 2
Direct
0.000 0.000 0.000
0.714 0.500 0.431
0.292 0.000 0.584
0.418 0.500 0.841
```

Results
electronic total energy	-18.57	eV/cell
total moment	0.00	μB/atom
density	7.0	g/cm³
energy of formation from the pure elements	-0.17	eV/atom
excess energy over the best structure of this formula in the dataset	0.0000	eV/atom

Entry 14:
LaNdCu | PBE | relaxed

```
LaNdCu
1.0
-1.830 1.830 6.324
1.830 -1.830 6.324
1.830 1.830 -6.324
La Nd Cu
1 1 1
Direct
0.000 0.000 0.000
0.725 0.725 0.000
0.356 0.356 0.000
```

Results
electronic total energy	-14.00	eV/cell
total moment	0.00	μB/atom
density	6.8	g/cm³
energy of formation from the pure elements	-0.07	eV/atom
excess energy over the best structure of this formula in the dataset	0.0214	eV/atom

Entry 15:
La4Nd3Cu2 | PBE | relaxed

```
La4Nd3Cu2
1.0
8.749 -1.910 0.000
8.749 1.910 0.000
-3.756 0.000 8.545
La Nd Cu
4 3 2
Direct
0.133 0.133 0.386
0.263 0.263 0.833
0.737 0.737 0.167
0.867 0.867 0.614
0.430 0.430 0.320
0.500 0.500 0.000
0.570 0.570 0.680
0.112 0.112 0.945
0.888 0.888 0.055
```

Results
electronic total energy	-42.36	eV/cell
total moment	0.00	μB/atom
density	6.5	g/cm³
energy of formation from the pure elements	-0.02	eV/atom

Entry 16:
LaNdCu | PBE | relaxed

```
LaNdCu
1.0
7.812 0.000 0.000
0.000 4.973 0.000
0.000 0.000 8.640
La Nd Cu
4 4 4
Direct
0.028 0.250 0.162
0.472 0.750 0.662
0.528 0.250 0.338
0.972 0.750 0.838
0.143 0.250 0.589
0.357 0.750 0.089
0.643 0.250 0.911
0.857 0.750 0.411
0.228 0.750 0.401
0.272 0.250 0.901
0.728 0.750 0.099
0.772 0.250 0.599
```

Results
electronic total energy	-56.24	eV/cell
total moment	0.00	μB/atom
density	6.9	g/cm³
energy of formation from the pure elements	-0.09	eV/atom
excess energy over the best structure of this formula in the dataset	0.0000	eV/atom

Entry 17:
La2NdCu3 | PBE | relaxed

```
La2NdCu3
1.0
2.582 -7.732 0.000
2.582 7.732 0.000
0.000 0.000 7.216
La Nd Cu
4 2 6
Direct
0.000 0.000 0.000
0.000 0.000 0.500
0.334 0.666 0.000
0.666 0.334 0.000
0.333 0.667 0.500
0.667 0.333 0.500
0.169 0.831 0.258
0.169 0.831 0.742
0.500 0.500 0.255
0.500 0.500 0.745
0.831 0.169 0.258
0.831 0.169 0.742
```

Results
electronic total energy	-55.44	eV/cell
total moment	0.00	μB/atom
density	7.1	g/cm³
energy of formation from the pure elements	-0.13	eV/atom

Entry 18:
LaNdCu3 | PBE | relaxed

```
LaNdCu3
1.0
1.929 -13.083 0.000
1.929 13.083 0.000
0.000 0.000 4.386
La Nd Cu
2 2 6
Direct
0.071 0.929 0.750
0.929 0.071 0.250
0.204 0.796 0.250
0.796 0.204 0.750
0.330 0.670 0.250
0.382 0.618 0.750
0.477 0.523 0.750
0.523 0.477 0.250
0.618 0.382 0.250
0.670 0.330 0.750
```

Results
electronic total energy	-45.96	eV/cell
total moment	0.00	μB/atom
density	7.1	g/cm³
energy of formation from the pure elements	-0.20	eV/atom

Entry 19:
LaNd4Cu4 | PBE | relaxed

```
LaNd4Cu4
1.0
8.825 0.000 0.000
0.000 8.825 0.000
0.000 0.000 6.200
La Nd Cu
2 8 8
Direct
0.250 0.250 0.250
0.750 0.750 0.750
0.055 0.662 0.148
0.162 0.945 0.648
0.338 0.555 0.648
0.445 0.838 0.148
0.555 0.162 0.852
0.662 0.445 0.352
0.838 0.055 0.352
0.945 0.338 0.852
0.023 0.617 0.613
0.117 0.977 0.113
0.383 0.523 0.113
0.477 0.883 0.613
0.523 0.117 0.387
0.617 0.477 0.887
0.883 0.023 0.887
0.977 0.383 0.387
```

Results
electronic total energy	-80.78	eV/cell
total moment	0.00	μB/atom
density	6.7	g/cm³
energy of formation from the pure elements	0.00	eV/atom

Entry 20:
LaNd2Cu6 | PBE | relaxed

```
LaNd2Cu6
1.0
7.452 0.000 0.000
-3.726 6.454 0.000
0.000 0.000 3.796
La Nd Cu
1 2 6
Direct
0.000 0.000 0.000
0.333 0.667 0.000
0.667 0.333 0.000
0.000 0.334 0.500
0.000 0.666 0.500
0.334 0.000 0.500
0.334 0.334 0.500
0.666 0.000 0.500
0.666 0.666 0.500
```

Results
electronic total energy	-41.01	eV/cell
total moment	0.00	μB/atom
density	7.4	g/cm³
energy of formation from the pure elements	-0.22	eV/atom